Entry 1:
The following is a PBE-GGA calculation of BeOsAu4 after structural relaxation, from Alexandria via LeMat-Bulk.

Cell lengths 5.3644, 5.3644, 5.3644 Å; angles 60.00, 60.00, 60.00 degrees
With the nearest neighbours (Å) after each atom.
Fractional coordinates of all 6 atoms:
Be (0.7500, 0.7500, 0.7500)  12 Au 3.15, 4 Os 3.29
Os (0.0000, 0.0000, 0.0000)  12 Au 3.15, 4 Be 3.29
Au (0.3750, 0.8751, 0.3750)  6 Au 2.68
Au (0.8751, 0.3750, 0.3750)  6 Au 2.68
Au (0.3750, 0.3750, 0.8751)  6 Au 2.68
Au (0.3750, 0.3750, 0.3750)  6 Au 2.68

* spin magnetization: 1.59 μB/f.u.

Entry 2:
The following is a PBE-GGA calculation of Be3OsAu after structural relaxation, from Alexandria via LeMat-Bulk.

Cell lengths 4.1677, 4.1677, 4.1677 Å; angles 90.00, 90.00, 90.00 degrees
With the nearest neighbours (Å) after each atom.
Fractional coordinates of all 5 atoms:
Os (0.5000, 0.5000, 0.5000)  12 Be 2.95
Au (0.0000, 0.0000, 0.0000)  6 Be 2.08
Be (0.0000, 0.5000, 0.0000)  2 Au 2.08
Be (0.0000, 0.0000, 0.5000)  2 Au 2.08
Be (0.5000, 0.0000, 0.0000)  2 Au 2.08

* polymorph energy (0 for the lowest one): 383 meV per atom
* spin magnetization: 0.90 μB/f.u.

Entry 3:
The following is a PBE-GGA calculation of BeOs2Au after structural relaxation, from Alexandria via LeMat-Bulk.

Cell lengths 4.6153, 4.6153, 4.6153 Å; angles 130.13, 130.13, 73.20 degrees
With the nearest neighbours (Å) after each atom.
Fractional coordinates of all 4 atoms:
Os (0.0000, 0.0000, 0.0000)  4 Be 2.69, 4 Os 2.69, 4 Au 2.75
Os (0.2500, 0.7500, 0.5000)  4 Os 2.69, 4 Au 2.69, 4 Be 2.75
Au (0.5000, 0.5000, 0.0000)  8 Os 2.69-2.75, 4 Be 2.69
Be (0.7500, 0.2500, 0.5000)  8 Os 2.69-2.75, 4 Au 2.69

* spin magnetization: 0.00 μB/f.u.

no.,E_form (eV/atom),calculated volume (Å³ per atom)
1,0.9877,18.19
2,1.1255,14.48
3,0.4348,14.03